Li2CrAs | meta-GGA SCAN | PBEsol geometry

The structure belongs to space group P4/mmm (No. 123); the cell edges are 3.6621, 3.6621 and 4.2234 Å and the angles 90.00°, 90.00° and 90.00°. The distinct sites, in fractional coordinates, are Li at (0.0000, 0.5000, 0.0000), Cr at (0.0000, 0.0000, 0.5000) and As at (0.5000, 0.5000, 0.5000).

The energy of formation is -365 meV/atom. Its calculated volume is 14.2 Å³ per atom.



LiCr2As2 | meta-GGA SCAN | PBEsol geometry

The structure belongs to space group I4/mmm (No. 139); the cell edges are 3.4461, 3.4461 and 13.6782 Å and the angles 90.00°, 90.00° and 90.00°. The distinct sites, in fractional coordinates, are Li at (0.0000, 0.0000, 0.0000), Cr at (0.0000, 0.5000, 0.2500) and As at (0.0000, 0.0000, 0.3757).

The energy of formation is -159 meV/atom. Its calculated volume is 16.2 Å³ per atom.



LiCrAs2 | meta-GGA SCAN | PBEsol geometry

The structure belongs to space group R-3m (No. 166, hexagonal axes); the cell edges are 3.0824, 3.0824 and 22.3928 Å and the angles 90.00°, 90.00° and 120.00°. The distinct sites, in fractional coordinates, are Li at (0.0000, 0.0000, 0.0000), Cr at (0.0000, 0.0000, 0.5000) and As at (0.0000, 0.0000, 0.2400).

Its energy above the lowest structure with this stoichiometry is 0.0 meV/atom. The energy of formation is -320 meV/atom. Its calculated volume is 15.4 Å³ per atom.